# 1
SrTa2Co | the Alexandria database | PBE | relaxed; energy above the most stable polymorph in this dataset = 0.197 eV/atom; calculated volume = 24.69 Å³/atom; formation energy = 555 meV/atom
1.0
-3.1999 6.3517 2.7097
-4.1532 3.5223 5.3170
-0.5886 5.2484 5.4803
Sr Ta Co
1 2 1
direct
0.7500 0.7500 0.7500
0.9576 0.9576 0.9576
0.5424 0.5424 0.5424
0.2500 0.2500 0.2500

# 2
SrTaCo2Tc | the Alexandria database | PBE | relaxed; calculated volume = 22.40 Å³/atom; formation energy = 1880 meV/atom
1.0
-2.1699 0.4151 3.9429
3.2316 -3.8541 2.1842
2.9367 3.1880 1.2805
Sr Tc Co Ta
1 1 2 1
direct
0.0000 0.5000 0.0000
0.5000 0.5000 0.5000
0.5000 0.0000 0.0000
0.0000 0.0000 0.5000
0.0000 0.0000 0.0000

| no. | theoretical density (kg/m3) | uncorrected energy (eV/atom) |
| --- | --- | --- |
| 1 | 8548 | -7.57 |
| 2 | 7182 | -5.74 |